A geometry-optimized Dy6Er5In structure. Source: the Alexandria database, functional PBE.

Lattice parameters (Å, degrees): 9.2638 9.2638 9.2638 149.17 115.79 72.92
Positions (direct):
1 Dy 0.0799 0.3332 0.7467
2 Dy 0.2451 0.0000 0.2451
3 Dy 0.4134 0.6668 0.7467
4 Dy 0.5866 0.3332 0.2533
5 Dy 0.7549 0.0000 0.7549
6 Dy 0.9201 0.6668 0.2533
7 Er 0.1668 0.1668 0.0000
8 Er 0.3362 0.8362 0.5000
9 Er 0.5000 0.5000 0.0000
10 Er 0.6638 0.1638 0.5000
11 Er 0.8332 0.8332 0.0000
12 In 0.0000 0.5000 0.5000

Properties
The value obtained for the theoretical density is 8.85 g/cm3. As for the total magnetization: 0.00 μB per formula unit. The calculation puts the total energy at -4.485 eV/atom.

***

A geometry-optimized LiSc2SnH structure. Source: the Alexandria database, functional PBE.

Lattice parameters (Å, degrees): 4.4553 4.4553 4.2235 90.00 90.00 90.00
Positions (direct):
1 Li 0.0000 0.0000 0.0000
2 Sc 0.0000 0.5000 0.5000
3 Sc 0.5000 0.0000 0.5000
4 Sn 0.5000 0.5000 0.0000
5 H 0.0000 0.0000 0.5000

Properties
The value obtained for the theoretical density is 4.29 g/cm3. As for the total magnetization: 1.08 μB per formula unit. The calculation puts the total energy at -4.899 eV/atom.

***

A geometry-optimized CsRuI2O structure. Source: the Alexandria database, functional PBE.

Lattice parameters (Å, degrees): 6.0867 6.0867 3.8254 90.00 90.00 90.00
Positions (direct):
1 Cs 0.0000 0.0000 0.0000
2 Ru 0.5000 0.5000 0.5000
3 I 0.0000 0.5000 0.5000
4 I 0.5000 0.0000 0.5000
5 O 0.5000 0.5000 0.0000

Properties
The calculation puts the energy relative to the lowest polymorph listed for this composition at 0.0000 eV/atom. For the formation energy from raw total energies, the calculation gives -0.583 eV/atom. The value obtained for the theoretical density is 5.90 g/cm3. As for the total magnetization: 0.64 μB per formula unit. The calculation puts the total energy at -4.220 eV/atom.

***

A geometry-optimized HfZn2Pt structure. Source: the Alexandria database, functional PBE.

Lattice parameters (Å, degrees): 6.3158 6.3158 6.3158 90.00 90.00 90.00
Positions (direct):
1 Hf 0.0000 0.0000 0.0000
2 Hf 0.0000 0.5000 0.5000
3 Hf 0.5000 0.0000 0.5000
4 Hf 0.5000 0.5000 0.0000
5 Zn 0.2500 0.2500 0.2500
6 Zn 0.2500 0.2500 0.7500
7 Zn 0.2500 0.7500 0.2500
8 Zn 0.2500 0.7500 0.7500
9 Zn 0.7500 0.2500 0.2500
10 Zn 0.7500 0.2500 0.7500
11 Zn 0.7500 0.7500 0.2500
12 Zn 0.7500 0.7500 0.7500
13 Pt 0.0000 0.0000 0.5000
14 Pt 0.0000 0.5000 0.0000
15 Pt 0.5000 0.0000 0.0000
16 Pt 0.5000 0.5000 0.5000

Properties
The value obtained for the theoretical density is 13.30 g/cm3. As for the total magnetization: 0.00 μB per formula unit. The calculation puts the total energy at -5.100 eV/atom.